Here is crystalline CaGa4FeO8 at its relaxed geometry from Alexandria via LeMat-Bulk. Energies are from PBE with a Hubbard U.

Unit cell a=6.154 b=6.154 c=6.154 alpha=59.53 beta=59.53 gamma=59.53
Fractional coordinates of all 14 atoms:
Ca (0.000, 0.000, 0.000)
Ga (0.111, 0.628, 0.628)
Ga (0.243, 0.243, 0.243)
Ga (0.628, 0.111, 0.628)
Ga (0.628, 0.628, 0.111)
Fe (0.625, 0.625, 0.625)
O (0.374, 0.374, 0.853)
O (0.374, 0.853, 0.374)
O (0.378, 0.378, 0.378)
O (0.425, 0.866, 0.866)
O (0.853, 0.374, 0.374)
O (0.858, 0.858, 0.858)
O (0.866, 0.425, 0.866)
O (0.866, 0.866, 0.425)

Summary:
mass density: 5.12 g cm⁻³
E: -6.133 eV per atom
symmetry: No. 160